# 1
Material: SmZnPd
Method: DFT, PBE-GGA
State: relaxed

Summary:
formation enthalpy at 0 K = -0.710 eV/atom
electronic total energy = -0.163 hartree per atom
density of states at the Fermi level = 5.50 states/eV per cell

Lattice parameters (Å, degrees): 7.3946 7.3946 3.9367 90.00 90.00 120.00
Last column: nearest neighbours and their distance in Å.
Positions (direct):
Sm1 0.4076 0.0000 0.0000  5 Pd 2.98-3.01, 6 Zn 3.23-3.28
Sm2 0.0000 0.4076 0.0000  5 Pd 2.98-3.01, 6 Zn 3.23-3.28
Sm3 0.5924 0.5924 0.0000  5 Pd 2.98-3.01, 6 Zn 3.23-3.28
Zn1 0.7535 0.0000 0.5000  4 Pd 2.68-2.84
Zn2 0.0000 0.7535 0.5000  4 Pd 2.68-2.84
Zn3 0.2465 0.2465 0.5000  4 Pd 2.68-2.84
Pd1 0.0000 0.0000 0.0000  6 Zn 2.68
Pd2 0.3333 0.6667 0.5000  3 Zn 2.84, 6 Sm 2.98
Pd3 0.6667 0.3333 0.5000  3 Zn 2.84, 6 Sm 2.98



# 2
Material: ScTcAu2
Method: DFT, PBE-GGA
State: relaxed

Summary:
formation enthalpy at 0 K = -0.176 eV/atom
energy above the most stable polymorph in this dataset = 61 meV/atom
electronic total energy = -0.220 hartree per atom
density of states at the Fermi level = 3.27 states/eV per cell

Lattice parameters (Å, degrees): 6.4113 4.9540 3.0137 90.04 61.89 120.25
Last column: nearest neighbours and their distance in Å.
Positions (direct):
Au1 0.0000 0.0000 0.0000  4 Au 2.83-3.01, 4 Tc 2.90, 4 Sc 2.90
Au2 0.5000 0.0000 0.5000  4 Au 2.83-3.01, 4 Sc 2.90, 4 Tc 2.90
Sc1 0.0000 0.5000 0.5000  2 Tc 2.83, 8 Au 2.90, 2 Sc 3.01
Tc1 0.5000 0.5000 0.0000  2 Sc 2.83, 8 Au 2.90, 2 Tc 3.01



# 3
Material: K2PmYTe4
Method: DFT, PBE-GGA
State: relaxed

Summary:
raw formation energy = -11.30 eV per formula unit
electronic total energy = -0.171 hartree per atom

Lattice parameters (Å, degrees): 4.5467 7.8732 8.6577 107.65 90.00 90.00
Last column: nearest neighbours and their distance in Å.
Positions (direct):
K1 0.5000 0.0000 0.5000  6 Te 3.57
K2 0.0000 0.5000 0.5000  6 Te 3.52
Pm1 0.0000 0.0000 0.0000  6 Te 3.17-3.18
Y1 0.5000 0.5000 0.0000  6 Te 3.12-3.13
Te1 0.5000 0.2424 0.2123  1 Y 3.12, 2 Pm 3.17
Te2 0.5000 0.7576 0.7877  1 Y 3.12, 2 Pm 3.17
Te3 0.0000 0.2684 0.7902  2 Y 3.13, 1 Pm 3.18
Te4 0.0000 0.7316 0.2098  2 Y 3.13, 1 Pm 3.18



# 4
Material: SrMn2Br
Method: DFT, PBE-GGA
State: relaxed

Summary:
raw formation energy = 0.02 eV per formula unit
energy above the most stable polymorph in this dataset = 0 meV/atom
electronic total energy = -0.199 hartree per atom
density of states at the Fermi level = 4.17 states/eV per cell

Lattice parameters (Å, degrees): 4.2339 4.2339 8.6483 60.12 60.12 58.66
Last column: nearest neighbours and their distance in Å.
Positions (direct):
Br1 0.3811 0.3811 0.2453  1 Mn 2.56
Mn1 0.9765 0.9765 0.8454  3 Mn 2.44-2.46
Mn2 0.6199 0.6199 0.8839  3 Mn 2.44-2.46, 1 Br 2.56
Sr1 0.5225 0.5225 0.5254  3 Br 3.14, 5 Mn 3.32-3.50



# 5
Material: DySi2Ir
Method: DFT, PBE-GGA
State: relaxed

Summary:
raw formation energy = -1.43 eV per formula unit
electronic total energy = -0.236 hartree per atom
density of states at the Fermi level = 0.88 states/eV per cell

Lattice parameters (Å, degrees): 4.7901 4.7901 4.4296 57.27 57.27 60.00
Last column: nearest neighbours and their distance in Å.
Positions (direct):
Si1 0.2369 0.2369 0.2893  1 Ir 2.46, 1 Dy 2.73
Si2 0.7631 0.7631 0.7107  1 Ir 2.46, 1 Dy 2.73
Ir1 0.0000 0.0000 0.0000  2 Si 2.46
Dy1 0.5000 0.5000 0.5000  8 Si 2.73-2.86



# 6
Material: K3InPb
Method: DFT, PBE-GGA
State: relaxed

Summary:
formation enthalpy at 0 K = 0.276 eV/atom
energy above the most stable polymorph in this dataset = 271 meV/atom
electronic total energy = -0.061 hartree per atom
density of states at the Fermi level = 4.39 states/eV per cell

Lattice parameters (Å, degrees): 6.7670 6.7670 6.7670 90.00 90.00 90.00
Last column: nearest neighbours and their distance in Å.
Positions (direct):
Pb1 0.0000 0.0000 0.0000  6 K 3.38
K1 0.0000 0.5000 0.0000  2 Pb 3.38
K2 0.0000 0.0000 0.5000  2 Pb 3.38
K3 0.5000 0.0000 0.0000  2 Pb 3.38
In1 0.5000 0.5000 0.5000  12 K 4.78



> Among the records above, which one has the highest electronic total energy?

K3InPb